Entry 1:
The following is a DFT calculation (GGA-PBE) of a relaxed structure of CdIrRh.

Cell and atoms, written as POSCAR:
```
CdIrRh
1.0
2.244 7.105 1.317
-0.549 7.133 1.468
1.529 -0.090 2.340
Ir Cd Rh
1 1 1
Direct
0.672 0.672 0.328 Ir
0.999 0.999 0.001 Cd
0.329 0.329 0.671 Rh
```

Summary:
Crystal system ... orthorhombic
Space group ... Fmm2 (42)

Entry 2:
The following is a DFT calculation (GGA-PBE) of a relaxed structure of CdIr2Rh2.

Cell and atoms, written as POSCAR:
```
CdIr2Rh2
1.0
7.648 0.000 0.000
0.000 7.648 0.000
0.000 0.000 2.759
Rh Ir Cd
4 4 2
Direct
0.622 0.122 0.000 Rh
0.378 0.878 0.000 Rh
0.122 0.378 0.000 Rh
0.878 0.622 0.000 Rh
0.325 0.175 0.500 Ir
0.675 0.825 0.500 Ir
0.825 0.325 0.500 Ir
0.175 0.675 0.500 Ir
0.500 0.500 0.000 Cd
0.000 0.000 0.000 Cd
```

Summary:
Crystal system ... tetragonal
Space group ... P4/mbm (127)

Entry 3:
The following is a DFT calculation (GGA-PBE) of a relaxed structure of CdIr2Rh.

Cell and atoms, written as POSCAR:
```
CdIr2Rh
1.0
5.828 0.000 0.000
0.000 5.828 0.000
2.914 2.914 5.812
Rh Ir Cd
2 4 2
Direct
0.500 0.500 0.000 Rh
0.250 0.750 0.500 Rh
0.172 0.625 0.250 Ir
0.375 0.422 0.750 Ir
0.875 0.828 0.750 Ir
0.578 0.125 0.250 Ir
0.750 0.250 0.500 Cd
0.000 0.000 0.000 Cd
```

Summary:
Crystal system ... tetragonal
Space group ... I-42d (122)

Entry 4:
The following is a DFT calculation (GGA-PBE) of a relaxed structure of CdIr2Rh.

Cell and atoms, written as POSCAR:
```
CdIr2Rh
1.0
2.799 0.000 0.000
0.000 2.799 0.000
0.000 0.000 8.001
Rh Cd Ir
1 1 2
Direct
0.000 0.000 0.480 Rh
0.500 0.500 0.748 Cd
0.500 0.500 0.249 Ir
0.000 0.000 0.023 Ir
```

Summary:
Crystal system ... tetragonal
Space group ... P4mm (99)

Entry 5:
The following is a DFT calculation (GGA-PBE) of a relaxed structure of CdIrRh.

Cell and atoms, written as POSCAR:
```
CdIrRh
1.0
-2.258 -0.079 -1.691
-0.420 -4.487 0.771
-3.309 1.460 6.696
Cd Ir Rh
2 2 2
Direct
0.941 0.250 0.384 Cd
0.059 0.750 0.616 Cd
0.269 0.250 0.039 Ir
0.731 0.750 0.961 Ir
0.379 0.750 0.259 Rh
0.621 0.250 0.741 Rh
```

Summary:
Crystal system ... monoclinic
Space group ... P2_1/m (11)

Entry 6:
The following is a DFT calculation (GGA-PBE) of a relaxed structure of CdIr2Rh2.

Cell and atoms, written as POSCAR:
```
CdIr2Rh2
1.0
-3.624 -1.125 6.628
1.245 -7.512 -0.594
2.402 0.290 1.363
Rh Ir Cd
4 4 2
Direct
0.677 0.823 0.500 Rh
0.823 0.323 0.500 Rh
0.323 0.177 0.500 Rh
0.177 0.677 0.500 Rh
0.380 0.880 0.000 Ir
0.620 0.120 0.000 Ir
0.880 0.620 0.000 Ir
0.120 0.380 0.000 Ir
0.000 0.000 0.000 Cd
0.500 0.500 0.000 Cd
```

Summary:
Crystal system ... tetragonal
Space group ... P4/mbm (127)

Entry 7:
The following is a DFT calculation (GGA-PBE) of a relaxed structure of CdIr2Rh.

Cell and atoms, written as POSCAR:
```
CdIr2Rh
1.0
-3.940 -8.213 -1.967
-2.947 -8.822 0.581
-5.436 -7.563 0.311
Cd Rh Ir
1 1 2
Direct
0.000 0.000 0.000 Cd
0.500 0.500 0.500 Rh
0.245 0.245 0.245 Ir
0.755 0.755 0.755 Ir
```

Summary:
Crystal system ... trigonal
Space group ... R-3m (166)

Entry 8:
The following is a DFT calculation (GGA-PBE) of a relaxed structure of CdIr2Rh.

Cell and atoms, written as POSCAR:
```
CdIr2Rh
1.0
-3.090 -4.256 -1.848
-5.546 0.041 0.569
4.705 2.142 -2.087
Ir Cd Rh
2 1 1
Direct
0.247 0.747 0.500 Ir
0.019 0.019 0.000 Ir
0.752 0.252 0.500 Cd
0.482 0.482 0.000 Rh
```

Summary:
Crystal system ... orthorhombic
Space group ... Imm2 (44)

Entry 9:
The following is a DFT calculation (GGA-PBE) of a relaxed structure of CdIrRh.

Cell and atoms, written as POSCAR:
```
CdIrRh
1.0
1.414 -2.449 0.000
1.414 2.449 0.000
0.000 0.000 6.915
Rh Ir Cd
1 1 1
Direct
0.333 0.667 0.653 Rh
0.667 0.333 0.350 Ir
0.000 0.000 0.998 Cd
```

Summary:
Crystal system ... trigonal
Space group ... P3m1 (156)

Entry 10:
The following is a DFT calculation (GGA-PBE) of a relaxed structure of CdIr2Rh.

Cell and atoms, written as POSCAR:
```
CdIr2Rh
1.0
1.396 4.675 -0.002
-1.396 4.675 -0.002
0.000 0.851 4.772
Rh Cd Ir
1 1 2
Direct
0.500 0.500 0.000 Rh
0.000 0.000 0.500 Cd
0.241 0.241 0.768 Ir
0.759 0.759 0.232 Ir
```

Summary:
Crystal system ... monoclinic
Space group ... C2/m (12)

Entry 11:
The following is a DFT calculation (GGA-PBE) of a relaxed structure of CdIr2Rh.

Cell and atoms, written as POSCAR:
```
CdIr2Rh
1.0
4.017 0.138 -2.766
3.665 -2.344 2.210
-4.612 -1.270 -0.961
Ir Rh Cd
2 1 1
Direct
0.750 0.250 0.500 Ir
0.250 0.750 0.500 Ir
0.500 0.500 0.000 Rh
0.000 0.000 0.000 Cd
```

Summary:
Crystal system ... tetragonal
Space group ... I4/mmm (139)

Entry 12:
The following is a DFT calculation (GGA-PBE) of a relaxed structure of CdIrRh.

Cell and atoms, written as POSCAR:
```
CdIrRh
1.0
0.000 3.065 3.065
3.065 0.000 3.065
3.065 3.065 0.000
Cd Rh Ir
1 1 1
Direct
0.500 0.500 0.500 Cd
0.000 0.000 0.000 Rh
0.750 0.750 0.750 Ir
```

Summary:
Crystal system ... cubic
Space group ... F-43m (216)

no.,ΔE_f (eV per atom),V (Å³/f.u.),size of the total moment (Bohr magnetons per cell)
1,0.23,48.5,0.0
2,0.21,80.7,0.0
3,1.32,98.7,0.0
4,0.04,62.7,0.0
5,0.05,48.2,0.0
6,0.18,81.0,0.0
7,0.17,62.4,0.0
8,0.26,64.2,0.0
9,0.11,47.9,0.0
10,0.11,62.3,0.0
11,0.20,62.2,0.0
12,0.54,57.6,0.4